Entry from Alexandria: a relaxed structure of AcPr4Cd (GGA-PBE).

Unit cell a=6.9008 b=6.9008 c=7.0874 alpha=119.64 beta=119.64 gamma=48.76
Fractional coordinates of all 6 atoms:
Ac (0.0000, 0.0000, 0.0000)
Pr (0.2961, 0.2961, 0.6614)
Pr (0.3556, 0.3556, 0.2104)
Pr (0.6444, 0.6444, 0.7896)
Pr (0.7039, 0.7039, 0.3386)
Cd (0.0000, 0.0000, 0.5000)

## Properties
The calculation puts the calculated formation energy at -0.0637 eV per atom. For the energy above the most stable polymorph in this dataset, the calculation gives 0.030 eV/atom. As for the crystal system: monoclinic. As for the magnetization: 0.0 μB/f.u.


Entry from Alexandria: a relaxed structure of AcPrPuCd (GGA-PBE).

Unit cell a=5.6915 b=5.6915 c=5.6915 alpha=60.00 beta=60.00 gamma=60.00
Fractional coordinates of all 4 atoms:
Ac (0.0000, 0.0000, 0.0000)
Pr (0.5000, 0.5000, 0.5000)
Pu (0.2500, 0.2500, 0.2500)
Cd (0.7500, 0.7500, 0.7500)

## Properties
The calculation puts the calculated formation energy at 0.0951 eV per atom. As for the crystal system: cubic. As for the magnetization: 6.2 μB/f.u.


Entry from Alexandria: a relaxed structure of AcPrCdSb (GGA-PBE).

Unit cell a=5.6329 b=5.6329 c=5.6329 alpha=60.00 beta=60.00 gamma=60.00
Fractional coordinates of all 4 atoms:
Ac (0.0000, 0.0000, 0.0000)
Pr (0.5000, 0.5000, 0.5000)
Cd (0.2500, 0.2500, 0.2500)
Sb (0.7500, 0.7500, 0.7500)

## Properties
As for the crystal system: cubic. For the uncorrected formation energy, the calculation gives -0.5637 eV per atom. As for the magnetization: 0.0 μB/f.u.


Entry from Alexandria: a relaxed structure of AcPrScCd (GGA-PBE).

Unit cell a=5.5787 b=5.5787 c=5.5787 alpha=60.00 beta=60.00 gamma=60.00
Fractional coordinates of all 4 atoms:
Ac (0.0000, 0.0000, 0.0000)
Pr (0.7500, 0.7500, 0.7500)
Sc (0.2500, 0.2500, 0.2500)
Cd (0.5000, 0.5000, 0.5000)

## Properties
The calculation puts the calculated formation energy at 0.0946 eV per atom. As for the crystal system: cubic. As for the magnetization: 0.0 μB/f.u.


Entry from Alexandria: a relaxed structure of Ac2PrCdSe5 (GGA-PBE).

Unit cell a=9.4476 b=9.4476 c=13.0442 alpha=90.00 beta=90.00 gamma=153.63
Fractional coordinates of all 18 atoms:
Ac (0.1167, 0.8833, 0.5000)
Ac (0.1329, 0.8671, 0.1218)
Ac (0.8671, 0.1329, 0.6218)
Ac (0.8833, 0.1167, 0.0000)
Pr (0.2000, 0.8000, 0.8221)
Pr (0.8000, 0.2000, 0.3221)
Cd (0.4586, 0.5414, 0.2687)
Cd (0.5414, 0.4586, 0.7687)
Se (0.0439, 0.9561, 0.8838)
Se (0.2898, 0.7102, 0.4831)
Se (0.3143, 0.6857, 0.1616)
Se (0.3608, 0.6392, 0.8141)
Se (0.4938, 0.5062, 0.5810)
Se (0.5062, 0.4938, 0.0810)
Se (0.6392, 0.3608, 0.3141)
Se (0.6857, 0.3143, 0.6616)
Se (0.7102, 0.2898, 0.9831)
Se (0.9561, 0.0439, 0.3838)

## Properties
As for the crystal system: orthorhombic. For the uncorrected formation energy, the calculation gives -1.6456 eV per atom. As for the magnetization: 0.0 μB/f.u.


Entry from Alexandria: a relaxed structure of AcPrCdSi (GGA-PBE).

Unit cell a=5.4579 b=5.4579 c=5.4579 alpha=60.00 beta=60.00 gamma=60.00
Fractional coordinates of all 4 atoms:
Ac (0.0000, 0.0000, 0.0000)
Pr (0.5000, 0.5000, 0.5000)
Cd (0.7500, 0.7500, 0.7500)
Si (0.2500, 0.2500, 0.2500)

## Properties
As for the crystal system: cubic. For the uncorrected formation energy, the calculation gives -0.3172 eV per atom. As for the magnetization: 0.0 μB/f.u.


Entry from Alexandria: a relaxed structure of AcPrCdSn (GGA-PBE).

Unit cell a=5.6374 b=5.6374 c=5.6374 alpha=60.00 beta=60.00 gamma=60.00
Fractional coordinates of all 4 atoms:
Ac (0.0000, 0.0000, 0.0000)
Pr (0.5000, 0.5000, 0.5000)
Cd (0.2500, 0.2500, 0.2500)
Sn (0.7500, 0.7500, 0.7500)

## Properties
The calculation puts the calculated formation energy at -0.4874 eV per atom. As for the crystal system: cubic. As for the magnetization: 0.0 μB/f.u.


Entry from Alexandria: a relaxed structure of AcPr2Cd2Sn2 (GGA-PBE).

Unit cell a=10.0193 b=10.0193 c=10.0193 alpha=29.30 beta=29.30 gamma=29.30
Fractional coordinates of all 7 atoms:
Ac (0.0000, 0.0000, 0.0000)
Pr (0.1334, 0.1334, 0.1334)
Pr (0.8666, 0.8666, 0.8666)
Cd (0.4225, 0.4225, 0.4225)
Cd (0.5775, 0.5775, 0.5775)
Sn (0.2636, 0.2636, 0.2636)
Sn (0.7364, 0.7364, 0.7364)

## Properties
The calculation puts the calculated formation energy at -0.3686 eV per atom. As for the crystal system: trigonal. As for the magnetization: 0.0 μB/f.u.


Entry from Alexandria: a relaxed structure of SrAcPrCd (GGA-PBE).

Unit cell a=5.9521 b=5.9521 c=5.9521 alpha=60.00 beta=60.00 gamma=60.00
Fractional coordinates of all 4 atoms:
Sr (0.0000, 0.0000, 0.0000)
Ac (0.2500, 0.2500, 0.2500)
Pr (0.5000, 0.5000, 0.5000)
Cd (0.7500, 0.7500, 0.7500)

## Properties
The calculation puts the calculated formation energy at 0.0942 eV per atom. For the energy above the most stable polymorph in this dataset, the calculation gives 0.229 eV/atom. As for the crystal system: cubic. As for the magnetization: 0.0 μB/f.u.


Entry from Alexandria: a relaxed structure of SrAcPrCd (GGA-PBE).

Unit cell a=3.9151 b=3.9151 c=9.9539 alpha=90.00 beta=90.00 gamma=90.00
Fractional coordinates of all 4 atoms:
Sr (0.0000, 0.0000, 0.0000)
Ac (0.5000, 0.5000, 0.3259)
Pr (0.0000, 0.0000, 0.5903)
Cd (0.5000, 0.5000, 0.7809)

## Properties
The calculation puts the calculated formation energy at -0.1346 eV per atom. For the energy above the most stable polymorph in this dataset, the calculation gives 0.000 eV/atom. As for the crystal system: tetragonal. As for the magnetization: 0.0 μB/f.u.


Entry from Alexandria: a relaxed structure of AcTbPrCd (GGA-PBE).

Unit cell a=3.8304 b=3.8304 c=9.0509 alpha=90.00 beta=90.00 gamma=90.00
Fractional coordinates of all 4 atoms:
Ac (0.0000, 0.0000, 0.0000)
Tb (0.5000, 0.5000, 0.2839)
Pr (0.5000, 0.5000, 0.7044)
Cd (0.0000, 0.0000, 0.4801)

## Properties
The calculation puts the calculated formation energy at -0.1370 eV per atom. For the energy above the most stable polymorph in this dataset, the calculation gives 0.000 eV/atom. As for the crystal system: tetragonal. As for the magnetization: 0.0 μB/f.u.


Entry from Alexandria: a relaxed structure of AcTbPrCd (GGA-PBE).

Unit cell a=5.7034 b=5.7034 c=5.7034 alpha=60.00 beta=60.00 gamma=60.00
Fractional coordinates of all 4 atoms:
Ac (0.0000, 0.0000, 0.0000)
Tb (0.7500, 0.7500, 0.7500)
Pr (0.2500, 0.2500, 0.2500)
Cd (0.5000, 0.5000, 0.5000)

## Properties
The calculation puts the calculated formation energy at 0.0461 eV per atom. For the energy above the most stable polymorph in this dataset, the calculation gives 0.183 eV/atom. As for the crystal system: cubic. As for the magnetization: 0.0 μB/f.u.